# PBE Tm2SBr, optimized geometry
# - uncorrected formation energy (eV per atom) = -1.37
data_Tm2SBr
_symmetry_space_group_name_H-M 'P 1'
_symmetry_Int_Tables_number 1
_cell_length_a 7.894
_cell_length_b 7.894
_cell_length_c 7.894
_cell_angle_alpha 27.32
_cell_angle_beta 27.32
_cell_angle_gamma 27.32
loop_
_symmetry_equiv_pos_as_xyz
'x,y,z'
loop_
_atom_site_label
_atom_site_fract_x
_atom_site_fract_y
_atom_site_fract_z
Tm1 0.233 0.233 0.233
Tm2 0.767 0.767 0.767
S1 0.500 0.500 0.500
Br1 0.000 0.000 0.000



# PBE TmS8Br2, optimized geometry
# - uncorrected formation energy (eV per atom) = -0.16
data_TmS8Br2
_symmetry_space_group_name_H-M 'P 1'
_symmetry_Int_Tables_number 1
_cell_length_a 8.471
_cell_length_b 8.471
_cell_length_c 10.421
_cell_angle_alpha 124.39
_cell_angle_beta 124.39
_cell_angle_gamma 42.56
loop_
_symmetry_equiv_pos_as_xyz
'x,y,z'
loop_
_atom_site_label
_atom_site_fract_x
_atom_site_fract_y
_atom_site_fract_z
Tm1 0.000 0.000 0.000
S1 0.145 0.613 0.726
S2 0.288 0.288 0.748
S3 0.387 0.855 0.274
S4 0.491 0.491 0.190
S5 0.509 0.509 0.810
S6 0.613 0.145 0.726
S7 0.712 0.712 0.252
S8 0.855 0.387 0.274
Br1 0.105 0.105 0.874
Br2 0.895 0.895 0.126



# PBE TmS4Br, optimized geometry
# - uncorrected formation energy (eV per atom) = -0.82
data_TmS4Br
_symmetry_space_group_name_H-M 'P 1'
_symmetry_Int_Tables_number 1
_cell_length_a 3.747
_cell_length_b 7.979
_cell_length_c 14.615
_cell_angle_alpha 99.68
_cell_angle_beta 93.48
_cell_angle_gamma 91.68
loop_
_symmetry_equiv_pos_as_xyz
'x,y,z'
loop_
_atom_site_label
_atom_site_fract_x
_atom_site_fract_y
_atom_site_fract_z
Tm1 0.136 0.222 0.426
Tm2 0.864 0.778 0.574
S1 0.310 0.298 0.031
S2 0.367 0.892 0.458
S3 0.391 0.885 0.018
S4 0.394 0.516 0.566
S5 0.606 0.484 0.434
S6 0.609 0.115 0.982
S7 0.633 0.108 0.542
S8 0.690 0.702 0.969
Br1 0.388 0.883 0.716
Br2 0.612 0.117 0.284



# PBE TmS6Br2, optimized geometry
# - uncorrected formation energy (eV per atom) = -0.54
data_TmS6Br2
_symmetry_space_group_name_H-M 'P 1'
_symmetry_Int_Tables_number 1
_cell_length_a 4.136
_cell_length_b 8.516
_cell_length_c 9.075
_cell_angle_alpha 116.28
_cell_angle_beta 93.15
_cell_angle_gamma 91.70
loop_
_symmetry_equiv_pos_as_xyz
'x,y,z'
loop_
_atom_site_label
_atom_site_fract_x
_atom_site_fract_y
_atom_site_fract_z
Tm1 0.000 0.000 0.000
S1 0.099 0.501 0.724
S2 0.101 0.715 0.460
S3 0.125 0.291 0.293
S4 0.875 0.709 0.707
S5 0.899 0.285 0.540
S6 0.901 0.499 0.276
Br1 0.500 0.133 0.880
Br2 0.500 0.867 0.120



# PBE TmS5Br, optimized geometry
# - uncorrected formation energy (eV per atom) = -0.65
data_TmS5Br
_symmetry_space_group_name_H-M 'P 1'
_symmetry_Int_Tables_number 1
_cell_length_a 12.243
_cell_length_b 12.243
_cell_length_c 4.105
_cell_angle_alpha 98.02
_cell_angle_beta 98.02
_cell_angle_gamma 153.14
loop_
_symmetry_equiv_pos_as_xyz
'x,y,z'
loop_
_atom_site_label
_atom_site_fract_x
_atom_site_fract_y
_atom_site_fract_z
Tm1 0.000 0.000 0.000
S1 0.051 0.566 0.477
S2 0.179 0.292 0.684
S3 0.434 0.949 0.523
S4 0.708 0.821 0.316
S5 0.796 0.204 0.000
Br1 0.571 0.429 0.500



# PBE USBr3, optimized geometry
# - uncorrected formation energy (eV per atom) = -1.19
# - energy above the most stable polymorph in this dataset (eV/atom) = 0.000
data_USBr3
_symmetry_space_group_name_H-M 'P 1'
_symmetry_Int_Tables_number 1
_cell_length_a 8.517
_cell_length_b 11.185
_cell_length_c 12.811
_cell_angle_alpha 90.00
_cell_angle_beta 96.19
_cell_angle_gamma 90.00
loop_
_symmetry_equiv_pos_as_xyz
'x,y,z'
loop_
_atom_site_label
_atom_site_fract_x
_atom_site_fract_y
_atom_site_fract_z
U1 0.082 0.140 0.113
U2 0.082 0.860 0.613
U3 0.918 0.140 0.387
U4 0.918 0.860 0.887
S1 0.180 0.130 0.308
S2 0.180 0.870 0.808
S3 0.820 0.130 0.192
S4 0.820 0.870 0.692
Br1 0.070 0.375 0.100
Br2 0.070 0.625 0.600
Br3 0.071 0.119 0.597
Br4 0.071 0.881 0.097
Br5 0.369 0.134 0.053
Br6 0.369 0.866 0.553
Br7 0.631 0.134 0.447
Br8 0.631 0.866 0.947
Br9 0.929 0.119 0.903
Br10 0.929 0.881 0.403
Br11 0.930 0.375 0.400
Br12 0.930 0.625 0.900



# PBE USBr3, optimized geometry
# - uncorrected formation energy (eV per atom) = -1.17
# - energy above the most stable polymorph in this dataset (eV/atom) = 0.013
data_USBr3
_symmetry_space_group_name_H-M 'P 1'
_symmetry_Int_Tables_number 1
_cell_length_a 8.118
_cell_length_b 8.118
_cell_length_c 8.118
_cell_angle_alpha 119.69
_cell_angle_beta 107.04
_cell_angle_gamma 102.22
loop_
_symmetry_equiv_pos_as_xyz
'x,y,z'
loop_
_atom_site_label
_atom_site_fract_x
_atom_site_fract_y
_atom_site_fract_z
U1 0.500 0.000 0.000
U2 0.500 0.500 0.500
S1 0.349 0.099 0.250
S2 0.651 0.901 0.750
Br1 0.225 0.000 0.725
Br2 0.225 0.500 0.225
Br3 0.304 0.554 0.750
Br4 0.696 0.446 0.250
Br5 0.775 0.000 0.275
Br6 0.775 0.500 0.775



# PBE USBr, optimized geometry
# - uncorrected formation energy (eV per atom) = -1.21
data_USBr
_symmetry_space_group_name_H-M 'P 1'
_symmetry_Int_Tables_number 1
_cell_length_a 3.993
_cell_length_b 3.993
_cell_length_c 6.938
_cell_angle_alpha 90.00
_cell_angle_beta 90.00
_cell_angle_gamma 120.00
loop_
_symmetry_equiv_pos_as_xyz
'x,y,z'
loop_
_atom_site_label
_atom_site_fract_x
_atom_site_fract_y
_atom_site_fract_z
U1 0.000 0.000 0.000
S1 0.333 0.667 0.803
Br1 0.667 0.333 0.274